[1]
Material: DyCu4P2
Method: DFT, PBE-GGA
State: optimized geometry

Unit cell a=3.7896 b=7.2565 c=7.2565 alpha=90.00 beta=90.00 gamma=90.00
Positions (direct):
1 Cu 0.5000 0.1651 0.5842
2 Cu 0.0000 0.3349 0.0842
3 Cu 0.5000 0.4158 0.8349
4 Cu 0.0000 0.0842 0.3349
5 Cu 0.5000 0.8349 0.4158
6 Cu 0.0000 0.6651 0.9158
7 Cu 0.0000 0.9158 0.6651
8 Cu 0.5000 0.5842 0.1651
9 P 0.5000 0.2870 0.2870
10 P 0.0000 0.2130 0.7870
11 P 0.5000 0.7130 0.7130
12 P 0.0000 0.7870 0.2130
13 Dy 0.0000 0.5000 0.5000
14 Dy 0.5000 0.0000 0.0000

Summary:
SG: P4_2/mnm, No. 136
Calculated volume in Å³/f.u.: 99.8
Final energy in eV/cell: -71.27
Total magnetic moment in μB per cell: 0.0

[2]
Material: AcLa3Pt3
Method: DFT, PBE-GGA
State: optimized geometry

Unit cell a=5.9314 b=7.4485 c=18.4658 alpha=58.81 beta=62.23 gamma=37.27
Positions (direct):
1 La 0.6136 0.0496 0.1994
2 La 0.3864 0.9504 0.8006
3 La 0.5174 0.7904 0.4597
4 La 0.4826 0.2096 0.5403
5 La 0.4947 0.7153 0.0348
6 La 0.5053 0.2847 0.9652
7 Pt 0.9636 0.1689 0.5812
8 Pt 0.1219 0.1043 0.1455
9 Pt 0.0364 0.8311 0.4188
10 Pt 0.8781 0.8957 0.8545
11 Pt 0.9814 0.6481 0.1011
12 Pt 0.0186 0.3519 0.8989
13 Ac 0.4117 0.5345 0.7158
14 Ac 0.5883 0.4655 0.2842

Summary:
SG: P-1, No. 2
Calculated volume in Å³/f.u.: 210.2
Final energy in eV/cell: -88.41
Total magnetic moment in μB per cell: 0.0

[3]
Material: Na2SmUS4
Method: DFT, PBE-GGA
State: optimized geometry

Unit cell a=4.0262 b=6.9719 c=7.1090 alpha=109.05 beta=90.00 gamma=90.00
Positions (direct):
1 S 0.5000 0.2491 0.2326
2 S 0.0000 0.7384 0.2300
3 S 0.5000 0.7509 0.7674
4 S 0.0000 0.2616 0.7700
5 U 0.5000 0.5000 0.0000
6 Na 0.0000 0.5000 0.5000
7 Na 0.5000 0.0000 0.5000
8 Sm 0.0000 0.0000 0.0000

Summary:
SG: P2/m, No. 10
Calculated volume in Å³/f.u.: 188.6
Final energy in eV/cell: -47.67
Total magnetic moment in μB per cell: 3.0